No. 1
This record from Alexandria via LeMat-Bulk describes a relaxed MnZnCo4 crystal. The functional is PBE-GGA.

Summary:
Distance to the lowest polymorph of the same formula: 0.0 kJ per mole of atoms
ΔH_f (0 K): 67 meV/atom
DOS(E_F): 6.53 states/eV per cell
Magnetization: 1.439 μB/atom
Energy: -6.41 eV per atom

a = 4.426 Å, b = 4.426 Å, c = 6.937 Å
α = 113.14°, β = 113.14°, γ = 34.10°
Positions (direct):
Mn (0.000, 0.000, 0.000)
Zn (0.000, 0.000, 0.500)
Co (0.327, 0.327, 0.163)
Co (0.330, 0.330, 0.668)
Co (0.670, 0.670, 0.332)
Co (0.673, 0.673, 0.837)

***

No. 2
This record from Alexandria via LeMat-Bulk describes a relaxed BiCF3 crystal. The functional is PBE-GGA.

Summary:
Distance to the lowest polymorph of the same formula: 42.5 kJ per mole of atoms
DOS(E_F): 3.06 states/eV per cell
Magnetization: 0.000 μB/atom
Energy: -3.68 eV per atom
Formation energy from raw total energies: 0.06 eV/atom

a = 4.076 Å, b = 4.076 Å, c = 4.076 Å
α = 90.00°, β = 90.00°, γ = 90.00°
Positions (direct):
Bi (0.000, 0.000, 0.000)
C (0.500, 0.500, 0.500)
F (0.000, 0.500, 0.500)
F (0.500, 0.000, 0.500)
F (0.500, 0.500, 0.000)

***

No. 3
This record from Alexandria via LeMat-Bulk describes a relaxed PrAlZn2Au4 crystal. The functional is PBE-GGA.

Summary:
ΔH_f (0 K): -464 meV/atom
DOS(E_F): 3.49 states/eV per cell
Magnetization: 0.000 μB/atom
Energy: -3.49 eV per atom

a = 9.204 Å, b = 9.204 Å, c = 9.204 Å
α = 28.30°, β = 28.30°, γ = 28.30°
Positions (direct):
Pr (0.000, 0.000, 0.000)
Al (0.500, 0.500, 0.500)
Zn (0.246, 0.246, 0.246)
Zn (0.754, 0.754, 0.754)
Au (0.134, 0.134, 0.134)
Au (0.399, 0.399, 0.399)
Au (0.601, 0.601, 0.601)
Au (0.866, 0.866, 0.866)

***

No. 4
This record from Alexandria via LeMat-Bulk describes a relaxed Ac3Cu2Ge3 crystal. The functional is PBE-GGA.

Summary:
Distance to the lowest polymorph of the same formula: 3.3 kJ per mole of atoms
ΔH_f (0 K): -548 meV/atom
DOS(E_F): 9.65 states/eV per cell
Magnetization: 0.000 μB/atom
Energy: -4.84 eV per atom

a = 6.347 Å, b = 6.347 Å, c = 15.332 Å
α = 90.00°, β = 90.00°, γ = 139.45°
Positions (direct):
Ac (0.077, 0.923, 0.604)
Ac (0.077, 0.923, 0.896)
Ac (0.360, 0.640, 0.750)
Ac (0.640, 0.360, 0.250)
Ac (0.923, 0.077, 0.104)
Ac (0.923, 0.077, 0.396)
Cu (0.222, 0.778, 0.098)
Cu (0.222, 0.778, 0.402)
Cu (0.778, 0.222, 0.598)
Cu (0.778, 0.222, 0.902)
Ge (0.341, 0.659, 0.250)
Ge (0.354, 0.646, 0.542)
Ge (0.354, 0.646, 0.958)
Ge (0.646, 0.354, 0.042)
Ge (0.646, 0.354, 0.458)
Ge (0.659, 0.341, 0.750)